Here is crystalline NpCoGeO6 at its relaxed geometry from Alexandria via LeMat-Bulk. Energies are from GGA+U.

## Properties
For the calculated total energy, the calculation gives -7.6809 eV per atom.

Cell and atoms, written as CIF:
```
data_NpCoGeO6
_chemical_formula_sum 'Np2 Co2 Ge2 O12'
_cell_length_a 5.2133
_cell_length_b 5.2133
_cell_length_c 9.0354
_cell_angle_alpha 90.00
_cell_angle_beta 90.00
_cell_angle_gamma 120.00
_space_group_name_H-M_alt 'P -3 1 c'
_space_group_IT_number 163
_space_group_name_Hall '-P 3 2c'
loop_
_atom_site_label
_atom_site_fract_x
_atom_site_fract_y
_atom_site_fract_z
Np1 0.3333 0.6667 0.2500
Co1 0.0000 0.0000 0.0000
Ge1 0.3333 0.6667 0.7500
O1 0.0221 0.3562 0.6324
```